# 1
# Ta4Mo | the Alexandria database | SCAN | PBEsol geometry
data_Ta4Mo
_symmetry_space_group_name_H-M 'F m m m'
_symmetry_Int_Tables_number 69
_symmetry_space_group_name_Hall '-F 2 2'
_cell_length_a 3.2155
_cell_length_b 4.6819
_cell_length_c 22.7096
_cell_angle_alpha 90.00
_cell_angle_beta 90.00
_cell_angle_gamma 90.00
loop_
_atom_site_label
_atom_site_type_symbol
_atom_site_fract_x
_atom_site_fract_y
_atom_site_fract_z
Ta1 Ta 0.0000 0.0000 0.0956
Ta2 Ta 0.0000 0.0000 0.3014
Mo1 Mo 0.0000 0.0000 0.5000
# * energy above the lowest structure with this stoichiometry: 1.11 kcal/mol of atoms
# * density: 15.926 g/cm³


# 2
# Cu3As2O8 | the Alexandria database | SCAN | PBEsol geometry
data_Cu3As2O8
_symmetry_space_group_name_H-M 'P -1'
_symmetry_Int_Tables_number 2
_symmetry_space_group_name_Hall '-P 1'
_cell_length_a 5.0106
_cell_length_b 5.4615
_cell_length_c 6.3899
_cell_angle_alpha 69.88
_cell_angle_beta 85.62
_cell_angle_gamma 68.19
loop_
_atom_site_label
_atom_site_type_symbol
_atom_site_fract_x
_atom_site_fract_y
_atom_site_fract_z
Cu1 Cu 0.0000 0.0000 0.0000
Cu2 Cu 0.2644 0.2059 0.3287
As1 As 0.3664 0.3458 0.7810
O1 O 0.1442 0.6736 0.6352
O2 O 0.2179 0.2044 0.0310
O3 O 0.3057 0.6485 0.1627
O4 O 0.3751 0.1207 0.6393
# * uncorrected formation energy: -1379 kJ/mol of formula units
# * density: 5.112 g/cm³